Run P
Density functional theory data (PBE) for a relaxed Mn5P3 crystal.

Cell and atoms, written as CIF:
```
data_Mn5P3
_space_group_name_H-M_alt 'P 63/m c m'
_space_group_IT_number 193
_space_group_name_Hall '-P 6c 2'
_cell_length_a 6.5194
_cell_length_b 6.5194
_cell_length_c 4.8722
_cell_angle_alpha 90.00
_cell_angle_beta 90.00
_cell_angle_gamma 120.00
loop_
_atom_site_label
_atom_site_fract_x
_atom_site_fract_y
_atom_site_fract_z
Mn1 0.0000 0.2546 0.2500
Mn2 0.3333 0.6667 0.0000
P1 0.0000 0.3891 0.7500
```

Run Q
Density functional theory data (PBE) for a relaxed Mn5P3 crystal.

Cell and atoms, written as CIF:
```
data_Mn5P3
_space_group_name_H-M_alt 'C m m m'
_space_group_IT_number 65
_space_group_name_Hall '-C 2 2'
_cell_length_a 5.597
_cell_length_b 8.183
_cell_length_c 3.818
_cell_angle_alpha 90.00
_cell_angle_beta 90.00
_cell_angle_gamma 90.00
loop_
_atom_site_label
_atom_site_fract_x
_atom_site_fract_y
_atom_site_fract_z
Mn1 0.000 0.000 0.000
Mn2 0.234 0.500 0.500
Mn3 0.250 0.250 0.000
P1 0.000 0.209 0.500
P2 0.000 0.500 0.000
```

It turns out run P is the most stable, with the second structure 114 meV/atom higher.

Run P
Density functional theory data (PBE) for a relaxed Mn3P4 crystal.

Cell and atoms, written as CIF:
```
data_Mn3P4
_space_group_name_H-M_alt 'I 4/m m m'
_space_group_IT_number 139
_space_group_name_Hall '-I 4 2'
_cell_length_a 3.079
_cell_length_b 3.079
_cell_length_c 17.596
_cell_angle_alpha 90.00
_cell_angle_beta 90.00
_cell_angle_gamma 90.00
loop_
_atom_site_label
_atom_site_fract_x
_atom_site_fract_y
_atom_site_fract_z
Mn1 0.000 0.000 0.000
Mn2 0.000 0.000 0.300
P1 0.000 0.000 0.161
P2 0.000 0.000 0.431
```

Run Q
Density functional theory data (PBE) for a relaxed Mn3P4 crystal.

Cell and atoms, written as CIF:
```
data_Mn3P4
_space_group_name_H-M_alt 'P 6/m m m'
_space_group_IT_number 191
_space_group_name_Hall '-P 6 2'
_cell_length_a 5.0712
_cell_length_b 5.0712
_cell_length_c 4.2058
_cell_angle_alpha 90.00
_cell_angle_beta 90.00
_cell_angle_gamma 120.00
loop_
_atom_site_label
_atom_site_fract_x
_atom_site_fract_y
_atom_site_fract_z
Mn1 0.0000 0.5000 0.0000
P1 0.0000 0.0000 0.2515
P2 0.3333 0.6667 0.5000
```

It turns out run P is the most stable, with the second structure 468 meV/atom higher.

Run P
Density functional theory data (PBE) for a relaxed MnPPb crystal.

Cell and atoms, written as CIF:
```
data_MnPPb
_space_group_name_H-M_alt 'I 4 m m'
_space_group_IT_number 107
_space_group_name_Hall 'I 4 -2'
_cell_length_a 3.217
_cell_length_b 3.217
_cell_length_c 11.465
_cell_angle_alpha 90.00
_cell_angle_beta 90.00
_cell_angle_gamma 90.00
loop_
_atom_site_label
_atom_site_fract_x
_atom_site_fract_y
_atom_site_fract_z
Mn1 0.000 0.000 0.000
P1 0.000 0.000 0.566
Pb1 0.000 0.000 0.298
```

Run Q
Density functional theory data (PBE) for a relaxed MnPPb crystal.

Cell and atoms, written as CIF:
```
data_MnPPb
_space_group_name_H-M_alt 'P 3 m 1'
_space_group_IT_number 156
_space_group_name_Hall 'P 3 -2"'
_cell_length_a 3.3365
_cell_length_b 3.3365
_cell_length_c 6.2265
_cell_angle_alpha 90.00
_cell_angle_beta 90.00
_cell_angle_gamma 120.00
loop_
_atom_site_label
_atom_site_fract_x
_atom_site_fract_y
_atom_site_fract_z
Mn1 0.0000 0.0000 0.0000
P1 0.6667 0.3333 0.1908
Pb1 0.3333 0.6667 0.6240
```

Run R
Density functional theory data (PBE) for a relaxed MnPPb crystal.

Cell and atoms, written as CIF:
```
data_MnPPb
_space_group_name_H-M_alt 'F -4 3 m'
_space_group_IT_number 216
_space_group_name_Hall 'F -4 2 3'
_cell_length_a 6.399
_cell_length_b 6.399
_cell_length_c 6.399
_cell_angle_alpha 90.00
_cell_angle_beta 90.00
_cell_angle_gamma 90.00
loop_
_atom_site_label
_atom_site_fract_x
_atom_site_fract_y
_atom_site_fract_z
Mn1 0.000 0.000 0.000
P1 0.250 0.250 0.750
Pb1 0.250 0.250 0.250
```

It turns out run P is the most stable, with the second structure 75 meV/atom higher.

Run P
Density functional theory data (PBE) for a relaxed MnP3Pd crystal.

Cell and atoms, written as CIF:
```
data_MnP3Pd
_space_group_name_H-M_alt 'P m -3 m'
_space_group_IT_number 221
_space_group_name_Hall '-P 4 2 3'
_cell_length_a 4.611
_cell_length_b 4.611
_cell_length_c 4.611
_cell_angle_alpha 90.00
_cell_angle_beta 90.00
_cell_angle_gamma 90.00
loop_
_atom_site_label
_atom_site_fract_x
_atom_site_fract_y
_atom_site_fract_z
Mn1 0.000 0.000 0.000
P1 0.000 0.500 0.500
Pd1 0.500 0.500 0.500
```

Run Q
Density functional theory data (PBE) for a relaxed MnP3Pd crystal.

Cell and atoms, written as CIF:
```
data_MnP3Pd
_space_group_name_H-M_alt 'P m -3 m'
_space_group_IT_number 221
_space_group_name_Hall '-P 4 2 3'
_cell_length_a 4.356
_cell_length_b 4.356
_cell_length_c 4.356
_cell_angle_alpha 90.00
_cell_angle_beta 90.00
_cell_angle_gamma 90.00
loop_
_atom_site_label
_atom_site_fract_x
_atom_site_fract_y
_atom_site_fract_z
Mn1 0.000 0.000 0.000
P1 0.000 0.000 0.500
Pd1 0.500 0.500 0.500
```

It turns out run Q is the most stable, with the second structure 909 meV/atom higher.

Run P
Density functional theory data (PBE) for a relaxed MnPPdS2 crystal.

Cell and atoms, written as CIF:
```
data_MnPPdS2
_space_group_name_H-M_alt 'P 4/m m m'
_space_group_IT_number 123
_space_group_name_Hall '-P 4 2'
_cell_length_a 4.477
_cell_length_b 4.477
_cell_length_c 4.404
_cell_angle_alpha 90.00
_cell_angle_beta 90.00
_cell_angle_gamma 90.00
loop_
_atom_site_label
_atom_site_fract_x
_atom_site_fract_y
_atom_site_fract_z
Mn1 0.000 0.000 0.000
P1 0.000 0.000 0.500
Pd1 0.500 0.500 0.500
S1 0.000 0.500 0.000
```

Run Q
Density functional theory data (PBE) for a relaxed MnPPdS2 crystal.

Cell and atoms, written as CIF:
```
data_MnPPdS2
_space_group_name_H-M_alt 'P 4/m m m'
_space_group_IT_number 123
_space_group_name_Hall '-P 4 2'
_cell_length_a 4.881
_cell_length_b 4.881
_cell_length_c 4.417
_cell_angle_alpha 90.00
_cell_angle_beta 90.00
_cell_angle_gamma 90.00
loop_
_atom_site_label
_atom_site_fract_x
_atom_site_fract_y
_atom_site_fract_z
Mn1 0.000 0.000 0.000
P1 0.500 0.500 0.000
Pd1 0.500 0.500 0.500
S1 0.000 0.500 0.500
```

It turns out run P is the most stable, with the second structure 208 meV/atom higher.

Run P
Density functional theory data (PBE) for a relaxed MnP2PdS crystal.

Cell and atoms, written as CIF:
```
data_MnP2PdS
_space_group_name_H-M_alt 'P 4/m m m'
_space_group_IT_number 123
_space_group_name_Hall '-P 4 2'
_cell_length_a 4.346
_cell_length_b 4.346
_cell_length_c 4.533
_cell_angle_alpha 90.00
_cell_angle_beta 90.00
_cell_angle_gamma 90.00
loop_
_atom_site_label
_atom_site_fract_x
_atom_site_fract_y
_atom_site_fract_z
Mn1 0.000 0.000 0.000
P1 0.000 0.500 0.000
Pd1 0.500 0.500 0.500
S1 0.000 0.000 0.500
```

Run Q
Density functional theory data (PBE) for a relaxed MnP2PdS crystal.

Cell and atoms, written as CIF:
```
data_MnP2PdS
_space_group_name_H-M_alt 'P 4/m m m'
_space_group_IT_number 123
_space_group_name_Hall '-P 4 2'
_cell_length_a 4.572
_cell_length_b 4.572
_cell_length_c 4.789
_cell_angle_alpha 90.00
_cell_angle_beta 90.00
_cell_angle_gamma 90.00
loop_
_atom_site_label
_atom_site_fract_x
_atom_site_fract_y
_atom_site_fract_z
Mn1 0.000 0.000 0.000
P1 0.000 0.500 0.500
Pd1 0.500 0.500 0.500
S1 0.500 0.500 0.000
```

It turns out run P is the most stable, with the second structure 804 meV/atom higher.